Entry 1:
# P2RhS2

An optimized crystal structure of P2RhS2 (PBE, Alexandria via LeMat-Bulk).

Cell lengths 4.4366, 4.4366, 4.3184 Å; angles 90.00, 90.00, 90.00 degrees
Fractional coordinates of all 5 atoms:
S1 0.0000 0.0000 0.0000
S2 0.0000 0.0000 0.5000
P1 0.5000 0.0000 0.0000
P2 0.0000 0.5000 0.0000
Rh1 0.5000 0.5000 0.5000

Summary:
formation energy from raw total energies: 1.039 eV per atom
polymorph energy (0 for the lowest one): 220 meV/atom
space-group type: No. 123

Entry 2:
# DyHoZnSi

An optimized crystal structure of DyHoZnSi (PBE, Alexandria via LeMat-Bulk).

Cell lengths 4.9606, 4.9606, 4.9606 Å; angles 60.00, 60.00, 60.00 degrees
Fractional coordinates of all 4 atoms:
Ho1 0.5000 0.5000 0.5000
Si1 0.2500 0.2500 0.2500
Zn1 0.7500 0.7500 0.7500
Dy1 0.0000 0.0000 0.0000

Summary:
formation energy from raw total energies: -0.459 eV per atom
polymorph energy (0 for the lowest one): 111 meV/atom
space-group type: No. 216

Entry 3:
# USi2Tc2Os

An optimized crystal structure of USi2Tc2Os (PBE, Alexandria via LeMat-Bulk).

Cell lengths 4.6090, 4.6090, 5.1408 Å; angles 90.00, 90.00, 90.00 degrees
Each line ends with the local moment (μB).
Fractional coordinates of all 6 atoms:
U1 0.0000 0.0000 0.5000  1.58
Os1 0.0000 0.0000 0.0000  -0.16
Si1 0.5000 0.0000 0.0000  0.01
Si2 0.0000 0.5000 0.0000  0.01
Tc1 0.5000 0.5000 0.2593  -0.15
Tc2 0.5000 0.5000 0.7407  -0.15

Summary:
formation energy from raw total energies: 0.357 eV per atom
space-group type: No. 123

Entry 4:
# SrSiBr

An optimized crystal structure of SrSiBr (PBE, Alexandria via LeMat-Bulk).

Cell lengths 5.0796, 5.0796, 3.7182 Å; angles 90.00, 90.00, 120.00 degrees
Fractional coordinates of all 3 atoms:
Br1 0.0000 0.0000 0.1660
Sr1 0.3333 0.6667 0.6671
Si1 0.6667 0.3333 0.1669

Summary:
formation energy from raw total energies: -0.245 eV per atom
space-group type: No. 187

Entry 5:
# CsNa3Pb

An optimized crystal structure of CsNa3Pb (PBE, Alexandria via LeMat-Bulk).

Cell lengths 6.1667, 6.1667, 6.1667 Å; angles 90.00, 90.00, 90.00 degrees
Fractional coordinates of all 5 atoms:
Na1 0.0000 0.5000 0.0000
Na2 0.5000 0.0000 0.0000
Na3 0.0000 0.0000 0.5000
Pb1 0.0000 0.0000 0.0000
Cs1 0.5000 0.5000 0.5000

Summary:
polymorph energy (0 for the lowest one): 0 meV/atom
space-group type: No. 221
energy of formation: -0.092 eV per atom

Entry 6:
# TbDy2Tm6

An optimized crystal structure of TbDy2Tm6 (PBE, Alexandria via LeMat-Bulk).

Cell lengths 3.5503, 3.5503, 25.6031 Å; angles 90.00, 90.00, 120.00 degrees
Each line ends with the local moment (μB).
Fractional coordinates of all 9 atoms:
Tm1 0.3333 0.6667 0.5649  0.23
Tm2 0.3333 0.6667 0.2173  0.11
Tm3 0.6667 0.3333 0.8900  0.00
Tm4 0.6667 0.3333 0.1100  0.00
Tm5 0.3333 0.6667 0.7827  0.11
Tm6 0.3333 0.6667 0.4351  0.23
Dy1 0.6667 0.3333 0.6729  0.13
Dy2 0.6667 0.3333 0.3271  0.13
Tb1 0.3333 0.6667 0.0000  -0.11

Summary:
polymorph energy (0 for the lowest one): 0 meV/atom
space-group type: No. 187
energy of formation: 0.048 eV per atom

Entry 7:
# CrIrSe

An optimized crystal structure of CrIrSe (PBE, Alexandria via LeMat-Bulk).

Cell lengths 2.9006, 2.9028, 12.4416 Å; angles 90.00, 90.00, 119.97 degrees
Fractional coordinates of all 6 atoms:
Cr1 0.4603 0.9206 0.0000
Cr2 0.4296 0.8591 0.5000
Se1 0.7620 0.5241 0.6365
Se2 0.7620 0.5241 0.3635
Ir1 0.1263 0.2527 0.1530
Ir2 0.1263 0.2527 0.8470

Summary:
formation energy from raw total energies: 0.097 eV per atom
polymorph energy (0 for the lowest one): 0 meV/atom
space-group type: No. 38

Entry 8:
# SiP

An optimized crystal structure of SiP (PBE, Alexandria via LeMat-Bulk).

Cell lengths 11.3235, 11.6583, 5.9530 Å; angles 90.00, 90.00, 90.00 degrees
Fractional coordinates of all 32 atoms:
P1 0.3522 0.5000 0.0000
P2 0.8522 0.5000 0.5000
P3 0.6478 0.0000 0.5000
P4 0.8978 0.2500 0.2500
P5 0.6478 0.5000 0.0000
P6 0.3978 0.2500 0.7500
P7 0.8522 0.0000 0.0000
P8 0.1478 0.0000 0.0000
P9 0.6022 0.7500 0.7500
P10 0.3978 0.7500 0.2500
P11 0.1022 0.2500 0.7500
P12 0.1022 0.7500 0.2500
P13 0.3522 0.0000 0.5000
P14 0.8978 0.7500 0.7500
P15 0.1478 0.5000 0.5000
P16 0.6022 0.2500 0.2500
Si1 0.5000 0.3587 0.0000
Si2 0.5000 0.1413 0.5000
Si3 0.5000 0.6413 0.0000
Si4 0.7500 0.6087 0.7500
Si5 0.0000 0.6413 0.5000
Si6 0.7500 0.1087 0.2500
Si7 0.5000 0.8587 0.5000
Si8 0.0000 0.1413 0.0000
Si9 0.0000 0.3587 0.5000
Si10 0.7500 0.8913 0.7500
Si11 0.2500 0.6087 0.2500
Si12 0.2500 0.8913 0.2500
Si13 0.2500 0.3913 0.7500
Si14 0.0000 0.8587 0.0000
Si15 0.7500 0.3913 0.2500
Si16 0.2500 0.1087 0.7500

Summary:
formation energy from raw total energies: 0.309 eV per atom
space-group type: No. 70

Entry 9:
# CrAgP2

An optimized crystal structure of CrAgP2 (PBE, Alexandria via LeMat-Bulk).

Cell lengths 7.9149, 7.9149, 7.9149 Å; angles 21.46, 21.46, 21.46 degrees
Fractional coordinates of all 4 atoms:
Ag1 0.5008 0.5008 0.5008
P1 0.2610 0.2610 0.2610
P2 0.0028 0.0028 0.0028
Cr1 0.7354 0.7354 0.7354

Summary:
polymorph energy (0 for the lowest one): 396 meV/atom
space-group type: No. 160
energy of formation: 0.350 eV per atom

Entry 10:
# Co4C5

An optimized crystal structure of Co4C5 (PBE, Alexandria via LeMat-Bulk).

Cell lengths 5.8921, 5.8921, 5.8921 Å; angles 92.64, 92.64, 155.20 degrees
Each line ends with the local moment (μB).
Fractional coordinates of all 9 atoms:
C1 0.7179 0.7179 0.4357  0.01
C2 0.0000 0.0000 0.0000  -0.03
C3 0.2821 0.7179 0.0000  0.01
C4 0.7179 0.2821 0.0000  0.01
C5 0.2821 0.2821 0.5643  0.01
Co1 0.0000 0.2220 0.2220  0.31
Co2 0.2220 0.0000 0.2220  0.31
Co3 0.7780 0.0000 0.7780  0.31
Co4 0.0000 0.7780 0.7780  0.31

Summary:
polymorph energy (0 for the lowest one): 0 meV/atom
space-group type: No. 139
energy of formation: 0.981 eV per atom

Entry 11:
# Zr3Ag

An optimized crystal structure of Zr3Ag (PBE, Alexandria via LeMat-Bulk).

Cell lengths 3.1700, 3.1700, 10.1215 Å; angles 90.00, 90.00, 120.00 degrees
Fractional coordinates of all 4 atoms:
Ag1 0.0000 0.0000 0.0000
Zr1 0.0000 0.0000 0.5000
Zr2 0.3333 0.6667 0.2441
Zr3 0.3333 0.6667 0.7559

Summary:
space-group type: No. 187
energy of formation: 0.057 eV per atom

Entry 12:
# YSc2Hg

An optimized crystal structure of YSc2Hg (PBE, Alexandria via LeMat-Bulk).

Cell lengths 10.2706, 10.2706, 10.2706 Å; angles 19.41, 19.41, 19.41 degrees
Each line ends with the local moment (μB).
Fractional coordinates of all 4 atoms:
Hg1 0.7463 0.7463 0.7463  0.00
Sc1 0.2532 0.2532 0.2532  0.01
Sc2 0.0046 0.0046 0.0046  0.15
Y1 0.4958 0.4958 0.4958  -0.08

Summary:
space-group type: No. 160
energy of formation: -0.105 eV per atom

Entry 13:
# Pm2HF8

An optimized crystal structure of Pm2HF8 (PBE, Alexandria via LeMat-Bulk).

Cell lengths 4.3172, 6.2136, 6.2136 Å; angles 80.98, 106.90, 106.90 degrees
Each line ends with the local moment (μB).
Fractional coordinates of all 11 atoms:
Pm1 0.4233 0.6955 0.6955  -0.01
Pm2 0.5767 0.3045 0.3045  -0.01
F1 0.4861 0.6427 0.0899  0.24
F2 0.1719 0.4191 0.4191  0.00
F3 0.5139 0.3573 0.9101  0.24
F4 0.0187 0.1249 0.1249  0.00
F5 0.8281 0.5809 0.5809  0.00
F6 0.5139 0.9101 0.3573  0.24
F7 0.9813 0.8751 0.8751  0.00
F8 0.4861 0.0899 0.6427  0.24
H1 0.0000 0.0000 0.0000  0.00

Summary:
polymorph energy (0 for the lowest one): 28 meV/atom
space-group type: No. 12

Entry 14:
# LiNi6Ge

An optimized crystal structure of LiNi6Ge (PBE, Alexandria via LeMat-Bulk).

Cell lengths 4.8327, 4.8327, 4.8327 Å; angles 80.58, 80.58, 80.58 degrees
Each line ends with the local moment (μB).
Fractional coordinates of all 8 atoms:
Li1 0.5000 0.5000 0.5000  0.00
Ni1 0.8485 0.8485 0.4735  0.35
Ni2 0.8485 0.4735 0.8485  0.35
Ni3 0.5265 0.1515 0.1515  0.35
Ni4 0.1515 0.5265 0.1515  0.35
Ni5 0.1515 0.1515 0.5265  0.35
Ni6 0.4735 0.8485 0.8485  0.35
Ge1 0.0000 0.0000 0.0000  -0.02

Summary:
space-group type: No. 166
energy of formation: 0.301 eV per atom

Entry 15:
# LiAg2Pd4

An optimized crystal structure of LiAg2Pd4 (PBE, Alexandria via LeMat-Bulk).

Cell lengths 4.1988, 4.1988, 7.4743 Å; angles 106.31, 106.31, 90.00 degrees
Fractional coordinates of all 7 atoms:
Ag1 0.3635 0.3635 0.7270
Ag2 0.6365 0.6365 0.2730
Pd1 0.5000 0.0000 0.0000
Pd2 0.1677 0.1677 0.3354
Pd3 0.8323 0.8323 0.6646
Pd4 0.0000 0.5000 0.0000
Li1 0.0000 0.0000 0.0000

Summary:
polymorph energy (0 for the lowest one): 431 meV/atom
space-group type: No. 139
energy of formation: 0.327 eV per atom

Entry 16:
# AcPm2Pd2

An optimized crystal structure of AcPm2Pd2 (PBE, Alexandria via LeMat-Bulk).

Cell lengths 4.9393, 5.4039, 11.0004 Å; angles 95.26, 90.00, 90.00 degrees
Fractional coordinates of all 10 atoms:
Ac1 0.7500 0.3085 0.7694
Ac2 0.2500 0.6915 0.2306
Pm1 0.7500 0.1684 0.1104
Pm2 0.2500 0.2504 0.5010
Pm3 0.7500 0.7496 0.4990
Pm4 0.2500 0.8316 0.8896
Pd1 0.7500 0.2281 0.3729
Pd2 0.7500 0.6575 0.0166
Pd3 0.2500 0.7719 0.6271
Pd4 0.2500 0.3425 0.9834

Summary:
polymorph energy (0 for the lowest one): 0 meV/atom
space-group type: No. 11
energy of formation: -0.617 eV per atom

Entry 17:
# BaSr2Br2

An optimized crystal structure of BaSr2Br2 (PBE, Alexandria via LeMat-Bulk).

Cell lengths 5.4798, 5.4798, 8.5555 Å; angles 71.32, 71.32, 90.00 degrees
Fractional coordinates of all 5 atoms:
Ba1 0.0000 0.0000 0.0000
Sr1 0.6385 0.6385 0.7230
Sr2 0.3615 0.3615 0.2770
Br1 0.7500 0.2500 0.5000
Br2 0.2500 0.7500 0.5000

Summary:
formation energy from raw total energies: -1.086 eV per atom
polymorph energy (0 for the lowest one): 0 meV/atom
space-group type: No. 139

Entry 18:
# BeFe2Re

An optimized crystal structure of BeFe2Re (PBE, Alexandria via LeMat-Bulk).

Cell lengths 4.0054, 4.0054, 4.0054 Å; angles 60.00, 60.00, 60.00 degrees
Each line ends with the local moment (μB).
Fractional coordinates of all 4 atoms:
Fe1 0.2500 0.2500 0.2500  1.88
Fe2 0.0000 0.0000 0.0000  1.64
Be1 0.5000 0.5000 0.5000  -0.02
Re1 0.7500 0.7500 0.7500  -0.29

Summary:
space-group type: No. 216
energy of formation: 0.040 eV per atom

Entry 19:
# NbPS2F

An optimized crystal structure of NbPS2F (PBE, Alexandria via LeMat-Bulk).

Cell lengths 4.6955, 4.6955, 4.9372 Å; angles 90.00, 90.00, 90.00 degrees
Fractional coordinates of all 5 atoms:
P1 0.0000 0.0000 0.5000
F1 0.5000 0.5000 0.5000
S1 0.0000 0.5000 0.0000
S2 0.5000 0.0000 0.0000
Nb1 0.0000 0.0000 0.0000

Summary:
formation energy from raw total energies: -0.096 eV per atom
polymorph energy (0 for the lowest one): 0 meV/atom
space-group type: No. 123

Entry 20:
# ScGa3Bi

An optimized crystal structure of ScGa3Bi (PBE, Alexandria via LeMat-Bulk).

Cell lengths 5.2281, 5.2281, 5.2281 Å; angles 90.00, 90.00, 90.00 degrees
Each line ends with the local moment (μB).
Fractional coordinates of all 5 atoms:
Ga1 0.5000 0.0000 0.0000  0.07
Ga2 0.0000 0.0000 0.5000  0.07
Ga3 0.0000 0.5000 0.0000  0.10
Sc1 0.0000 0.0000 0.0000  0.45
Bi1 0.5000 0.5000 0.5000  -0.09

Summary:
polymorph energy (0 for the lowest one): 0 meV/atom
space-group type: No. 221
energy of formation: 0.446 eV per atom

Entry 21:
# CePrHg3

An optimized crystal structure of CePrHg3 (PBE, Alexandria via LeMat-Bulk).

Cell lengths 6.6339, 8.2649, 10.5124 Å; angles 110.83, 90.00, 90.00 degrees
Each line ends with the local moment (μB).
Fractional coordinates of all 20 atoms:
Hg1 0.9000 0.0635 0.6439  0.00
Hg2 0.6697 0.3562 0.5873  0.00
Hg3 0.4000 0.4365 0.8561  0.00
Hg4 0.3303 0.6438 0.4127  0.00
Hg5 0.4174 0.2599 0.2424  0.00
Hg6 0.8303 0.8562 0.0873  0.00
Hg7 0.5826 0.7401 0.7576  0.00
Hg8 0.9174 0.2401 0.2576  0.00
Hg9 0.0826 0.7599 0.7424  0.00
Hg10 0.1697 0.1438 0.9127  0.00
Hg11 0.1000 0.9365 0.3561  0.00
Hg12 0.6000 0.5635 0.1439  0.00
Pr1 0.3129 0.8658 0.0417  0.00
Pr2 0.6871 0.1342 0.9583  0.00
Pr3 0.8129 0.6342 0.4583  0.00
Pr4 0.1871 0.3658 0.5417  0.00
Ce1 0.9049 0.4801 0.8780  0.65
Ce2 0.4049 0.0199 0.6220  0.65
Ce3 0.0951 0.5199 0.1220  0.65
Ce4 0.5951 0.9801 0.3780  0.65

Summary:
polymorph energy (0 for the lowest one): 31 meV/atom
space-group type: No. 14
energy of formation: -0.340 eV per atom

Entry 22:
# TmHf3Pa2N6

An optimized crystal structure of TmHf3Pa2N6 (PBE, Alexandria via LeMat-Bulk).

Cell lengths 3.3013, 6.7350, 7.4838 Å; angles 104.00, 102.74, 90.00 degrees
Fractional coordinates of all 12 atoms:
N1 0.6704 0.0711 0.3408
N2 0.3296 0.9289 0.6592
N3 0.6592 0.6028 0.3184
N4 0.0030 0.7397 0.0060
N5 0.9970 0.2603 0.9940
N6 0.3408 0.3972 0.6816
Pa1 0.1673 0.3356 0.3345
Pa2 0.8327 0.6644 0.6655
Hf1 0.8353 0.1674 0.6706
Hf2 0.1647 0.8326 0.3294
Hf3 0.5000 0.5000 0.0000
Tm1 0.5000 0.0000 0.0000

Summary:
formation energy from raw total energies: -1.732 eV per atom
space-group type: No. 12

Entry 23:
# SiAgOs2N

An optimized crystal structure of SiAgOs2N (PBE, Alexandria via LeMat-Bulk).

Cell lengths 3.9853, 4.5048, 3.9853 Å; angles 90.00, 90.00, 90.00 degrees
Fractional coordinates of all 5 atoms:
Si1 0.0000 0.5000 0.0000
Os1 0.0000 0.0000 0.5000
Os2 0.5000 0.0000 0.0000
Ag1 0.5000 0.5000 0.5000
N1 0.0000 0.0000 0.0000

Summary:
formation energy from raw total energies: 0.857 eV per atom
space-group type: No. 123

Entry 24:
# RbTlPbAu2

An optimized crystal structure of RbTlPbAu2 (PBE, Alexandria via LeMat-Bulk).

Cell lengths 4.9962, 4.9962, 7.0274 Å; angles 110.82, 110.82, 90.00 degrees
Fractional coordinates of all 5 atoms:
Pb1 0.7500 0.2500 0.5000
Rb1 0.0000 0.0000 0.0000
Au1 0.6146 0.6146 0.2291
Au2 0.3854 0.3854 0.7709
Tl1 0.2500 0.7500 0.5000

Summary:
space-group type: No. 119
energy of formation: -0.162 eV per atom

Entry 25:
# YBiAs3

An optimized crystal structure of YBiAs3 (PBE, Alexandria via LeMat-Bulk).

Cell lengths 5.3865, 5.3865, 5.3865 Å; angles 90.00, 90.00, 90.00 degrees
Fractional coordinates of all 5 atoms:
As1 0.0000 0.5000 0.0000
As2 0.5000 0.0000 0.0000
As3 0.0000 0.0000 0.5000
Bi1 0.5000 0.5000 0.5000
Y1 0.0000 0.0000 0.0000

Summary:
polymorph energy (0 for the lowest one): 0 meV/atom
space-group type: No. 221
energy of formation: 0.386 eV per atom